Record 1
## HfMnRh2Br (PBE)

Data for a geometry-optimized HfMnRh2Br structure.

- symmetry = No. 123

Cell lengths 4.4666, 4.4666, 4.9147 Å; angles 90.00, 90.00, 90.00 degrees
Last column: nearest neighbours and their distance in Å.
Fractional positions:
Hf  0.0000  0.0000  0.0000  2 Mn 2.46
Mn  0.0000  0.0000  0.5000  4 Rh 2.23, 2 Hf 2.46
Rh  0.0000  0.5000  0.5000  2 Mn 2.23
Rh  0.5000  0.0000  0.5000  2 Mn 2.23
Br  0.5000  0.5000  0.0000  4 Hf 3.16, 8 Rh 3.32

Record 2
## Ca2YBr (PBE)

Data for a geometry-optimized Ca2YBr structure.

- symmetry = No. 122

Cell lengths 9.1637, 9.1637, 6.7586 Å; angles 90.00, 90.00, 90.00 degrees
Last column: nearest neighbours and their distance in Å.
Fractional positions:
Ca  0.1813  0.7500  0.1250  2 Br 2.95
Ca  0.2500  0.1813  0.8750  2 Br 2.95
Ca  0.2500  0.3187  0.3750  2 Br 2.95
Ca  0.3187  0.7500  0.6250  2 Br 2.95
Ca  0.6813  0.2500  0.6250  2 Br 2.95
Ca  0.7500  0.6813  0.3750  2 Br 2.95
Ca  0.7500  0.8187  0.8750  2 Br 2.95
Ca  0.8187  0.2500  0.1250  2 Br 2.95
Y  0.0000  0.0000  0.5000  2 Br 3.38
Y  0.0000  0.5000  0.7500  2 Br 3.38
Y  0.5000  0.0000  0.2500  2 Br 3.38
Y  0.5000  0.5000  0.0000  2 Br 3.38
Br  0.0000  0.0000  0.0000  4 Ca 2.95
Br  0.0000  0.5000  0.2500  4 Ca 2.95
Br  0.5000  0.0000  0.7500  4 Ca 2.95
Br  0.5000  0.5000  0.5000  4 Ca 2.95

no.,uncorrected formation energy (meV/atom)
1,677
2,-266